Entry 1:
# Sr2MgTl | Alexandria via LeMat-Bulk | PBE | optimized geometry
# * DFT formation energy: -0.8 eV/f.u.
# * crystal system: monoclinic
# * SG: Cm, No. 8
data_Sr2MgTl
_space_group_name_H-M_alt 'P 1'
_space_group_IT_number 1
_cell_length_a 13.320
_cell_length_b 4.026
_cell_length_c 5.869
_cell_angle_alpha 90.00
_cell_angle_beta 115.52
_cell_angle_gamma 90.00
loop_
_space_group_symop_operation_xyz
'x,y,z'
loop_
_atom_site_label
_atom_site_type_symbol
_atom_site_fract_x
_atom_site_fract_y
_atom_site_fract_z
_atom_site_occupancy
Sr1 Sr 0.000 0.000 0.000 1
Sr2 Sr 0.203 0.000 0.700 1
Sr3 Sr 0.500 0.500 0.000 1
Sr4 Sr 0.703 0.500 0.700 1
Mg1 Mg 0.271 0.500 0.267 1
Mg2 Mg 0.771 0.000 0.267 1
Tl1 Tl 0.460 0.000 0.461 1
Tl2 Tl 0.960 0.500 0.461 1

***

Entry 2:
# SrMgTl | Alexandria via LeMat-Bulk | PBE | optimized geometry
# * DFT formation energy: -0.9 eV/f.u.
# * crystal system: tetragonal
# * SG: P4/nmm, No. 129
data_SrMgTl
_space_group_name_H-M_alt 'P 1'
_space_group_IT_number 1
_cell_length_a 4.806
_cell_length_b 4.806
_cell_length_c 8.215
_cell_angle_alpha 90.00
_cell_angle_beta 90.00
_cell_angle_gamma 90.00
loop_
_space_group_symop_operation_xyz
'x,y,z'
loop_
_atom_site_label
_atom_site_type_symbol
_atom_site_fract_x
_atom_site_fract_y
_atom_site_fract_z
_atom_site_occupancy
Sr1 Sr 0.250 0.250 0.164 1
Sr2 Sr 0.750 0.750 0.836 1
Mg1 Mg 0.250 0.750 0.500 1
Mg2 Mg 0.750 0.250 0.500 1
Tl1 Tl 0.250 0.250 0.730 1
Tl2 Tl 0.750 0.750 0.270 1

***

Number 1: raw total energy -2.037 eV/atom. Number 2: raw total energy -2.194 eV/atom.